(1)
Entry from Alexandria: Zn2PdCl after structural relaxation (PBE).

Output
DOS at the Fermi energy (states/eV per cell): 3.8
Energy relative to the lowest polymorph listed for this composition (meV per atom): 296
DFT total energy (eV/atom): -2.228
Uncorrected formation energy (meV/atom): 169.1

abc: 4.6175 4.6175 4.6175
angles: 60.00 60.00 60.00
With the nearest neighbours (Å) after each atom.
Element x y z (fractional)
1 Cl 0.0000 0.0000 0.0000  8 Zn 2.83
2 Zn 0.7500 0.7500 0.7500  4 Pd 2.83, 4 Cl 2.83
3 Pd 0.5000 0.5000 0.5000  8 Zn 2.83
4 Zn 0.2500 0.2500 0.2500  4 Cl 2.83, 4 Pd 2.83


(2)
Entry from Alexandria: ZnPdCl6 after structural relaxation (PBE).

Output
DFT total energy (eV/atom): -2.796
Uncorrected formation energy (meV/atom): -602.7

abc: 6.2091 7.5960 6.9922
angles: 112.83 104.73 110.45
With the nearest neighbours (Å) after each atom.
Element x y z (fractional)
1 Zn 0.0000 0.0000 0.0000  6 Cl 2.48-2.49
2 Cl 0.1817 0.9898 0.7208  1 Pd 2.35, 1 Zn 2.48
3 Pd 0.5000 0.0000 0.0000  6 Cl 2.35
4 Cl 0.1556 0.7392 0.0000  1 Pd 2.35, 1 Zn 2.49
5 Cl 0.4609 0.2690 0.2792  1 Pd 2.35, 1 Zn 2.48
6 Cl 0.5391 0.7310 0.7208  1 Pd 2.35, 1 Zn 2.48
7 Cl 0.8183 0.0102 0.2792  1 Pd 2.35, 1 Zn 2.48
8 Cl 0.8444 0.2608 0.0000  1 Pd 2.35, 1 Zn 2.49


(3)
Entry from Alexandria: Zn3PdCl after structural relaxation (PBE).

Output
DOS at the Fermi energy (states/eV per cell): 3.9
Energy relative to the lowest polymorph listed for this composition (meV per atom): 833
DFT total energy (eV/atom): -1.442
Uncorrected formation energy (meV/atom): 730.8

abc: 4.7500 4.7500 4.7500
angles: 90.00 90.00 90.00
With the nearest neighbours (Å) after each atom.
Element x y z (fractional)
1 Zn 0.0000 0.0000 0.5000  2 Cl 2.38
2 Cl 0.0000 0.0000 0.0000  6 Zn 2.38
3 Zn 0.0000 0.5000 0.0000  2 Cl 2.38
4 Zn 0.5000 0.0000 0.0000  2 Cl 2.38
5 Pd 0.5000 0.5000 0.5000  12 Zn 3.36


(4)
Entry from Alexandria: Zn2PdCl after structural relaxation (PBE).

Output
DOS at the Fermi energy (states/eV per cell): 1.8
Energy relative to the lowest polymorph listed for this composition (meV per atom): 0
DFT total energy (eV/atom): -2.523
Uncorrected formation energy (meV/atom): -126.4

abc: 6.7639 6.7639 5.8507
angles: 54.69 54.69 90.00
With the nearest neighbours (Å) after each atom.
Element x y z (fractional)
1 Pd 0.7500 0.2500 0.5000  4 Zn 2.52
2 Zn 0.1209 0.6250 0.2500  2 Pd 2.52, 2 Cl 2.55
3 Cl 0.5000 0.5000 0.0000  4 Zn 2.55
4 Zn 0.6291 0.1250 0.2500  2 Pd 2.52, 2 Cl 2.55
5 Zn 0.3750 0.3709 0.7500  2 Pd 2.52, 2 Cl 2.55
6 Zn 0.8750 0.8791 0.7500  2 Pd 2.52, 2 Cl 2.55
7 Cl 0.2500 0.7500 0.5000  4 Zn 2.55
8 Pd 0.0000 0.0000 0.0000  4 Zn 2.52


(5)
Entry from Alexandria: Zn3PdCl after structural relaxation (PBE).

Output
DOS at the Fermi energy (states/eV per cell): 1.4
Energy relative to the lowest polymorph listed for this composition (meV per atom): 0
DFT total energy (eV/atom): -2.275
Uncorrected formation energy (meV/atom): -102.2

abc: 4.8788 4.8788 4.8788
angles: 90.00 90.00 90.00
With the nearest neighbours (Å) after each atom.
Element x y z (fractional)
1 Cl 0.5000 0.5000 0.5000  12 Zn 3.45
2 Zn 0.5000 0.0000 0.0000  2 Pd 2.44
3 Zn 0.0000 0.5000 0.0000  2 Pd 2.44
4 Zn 0.0000 0.0000 0.5000  2 Pd 2.44
5 Pd 0.0000 0.0000 0.0000  6 Zn 2.44


(6)
Entry from Alexandria: ZrPdCl3 after structural relaxation (PBE).

Output
DOS at the Fermi energy (states/eV per cell): 2.9
Energy relative to the lowest polymorph listed for this composition (meV per atom): 616
DFT total energy (eV/atom): -3.893
Uncorrected formation energy (meV/atom): -36.7

abc: 4.9061 4.9061 4.9061
angles: 90.00 90.00 90.00
With the nearest neighbours (Å) after each atom.
Element x y z (fractional)
1 Cl 0.0000 0.5000 0.0000  2 Pd 2.45
2 Zr 0.5000 0.5000 0.5000  12 Cl 3.47
3 Cl 0.0000 0.0000 0.5000  2 Pd 2.45
4 Pd 0.0000 0.0000 0.0000  6 Cl 2.45
5 Cl 0.5000 0.0000 0.0000  2 Pd 2.45


no.,size of the total moment (μB per formula unit)
1,0.000
2,0.000
3,0.000
4,0.000
5,0.000
6,2.271